No. 1
# Pm2Cu2Ir

A relaxed structure of Pm2Cu2Ir (PBE-GGA, Alexandria via LeMat-Bulk).

Computed properties:
Formation enthalpy at 0 K in meV/atom: -372

Cell: 5.696 5.696 7.247 Å, 107.66 107.66 70.77°
Atoms (fractional coordinates):
1 Pm 0.108 0.253 0.165
2 Pm 0.253 0.108 0.665
3 Pm 0.747 0.892 0.335
4 Pm 0.892 0.747 0.835
5 Cu 0.303 0.562 0.563
6 Cu 0.438 0.697 0.937
7 Cu 0.562 0.303 0.063
8 Cu 0.697 0.438 0.437
9 Ir 0.264 0.736 0.250
10 Ir 0.736 0.264 0.750



No. 2
# Zr2In3

A relaxed structure of Zr2In3 (PBE-GGA, Alexandria via LeMat-Bulk).

Computed properties:
Formation enthalpy at 0 K in meV/atom: -301

Cell: 7.061 7.061 4.501 Å, 90.00 90.00 90.00°
Atoms (fractional coordinates):
1 Zr 0.122 0.697 0.000
2 Zr 0.303 0.122 0.000
3 Zr 0.697 0.878 0.000
4 Zr 0.878 0.303 0.000
5 In 0.000 0.000 0.500
6 In 0.185 0.396 0.500
7 In 0.396 0.815 0.500
8 In 0.500 0.500 0.000
9 In 0.604 0.185 0.500
10 In 0.815 0.604 0.500



No. 3
# SiB2PC

A relaxed structure of SiB2PC (PBE-GGA, Alexandria via LeMat-Bulk).

Computed properties:
Excess energy over the best structure of this formula in the dataset in meV/atom: 34.3

Cell: 3.117 3.117 6.779 Å, 90.00 90.00 120.00°
Atoms (fractional coordinates):
1 Si 0.000 0.000 0.000
2 B 0.000 0.000 0.699
3 B 0.333 0.667 0.321
4 P 0.333 0.667 0.597
5 C 0.333 0.667 0.102



No. 4
# Na4ErSb3Te8

A relaxed structure of Na4ErSb3Te8 (PBE-GGA, Alexandria via LeMat-Bulk).

Computed properties:
E_tot in eV per atom: -3.623

Cell: 9.146 9.146 9.146 Å, 58.04 58.04 58.04°
Atoms (fractional coordinates):
1 Na 0.000 0.000 0.000
2 Na 0.000 0.500 0.500
3 Na 0.500 0.000 0.500
4 Na 0.500 0.500 0.000
5 Er 0.500 0.500 0.500
6 Sb 0.000 0.000 0.500
7 Sb 0.000 0.500 0.000
8 Sb 0.500 0.000 0.000
9 Te 0.244 0.244 0.244
10 Te 0.245 0.742 0.742
11 Te 0.258 0.258 0.755
12 Te 0.258 0.755 0.258
13 Te 0.742 0.245 0.742
14 Te 0.742 0.742 0.245
15 Te 0.755 0.258 0.258
16 Te 0.756 0.756 0.756



No. 5
# Os2BrCl

A relaxed structure of Os2BrCl (PBE-GGA, Alexandria via LeMat-Bulk).

Computed properties:
Excess energy over the best structure of this formula in the dataset in meV/atom: 52.0

Cell: 3.024 3.001 9.097 Å, 90.00 90.58 90.00°
Atoms (fractional coordinates):
1 Os 0.000 0.000 0.000
2 Os 0.495 0.500 0.837
3 Br 0.007 0.500 0.230
4 Cl 0.488 0.000 0.625



No. 6
# PaGa3Rh

A relaxed structure of PaGa3Rh (PBE-GGA, Alexandria via LeMat-Bulk).

Computed properties:
Excess energy over the best structure of this formula in the dataset in meV/atom: 76.0
Formation enthalpy at 0 K in meV/atom: -452

Cell: 6.146 6.146 5.643 Å, 90.00 90.00 120.00°
Atoms (fractional coordinates):
1 Pa 0.333 0.667 0.250
2 Pa 0.667 0.333 0.750
3 Ga 0.194 0.389 0.750
4 Ga 0.194 0.806 0.750
5 Ga 0.389 0.194 0.250
6 Ga 0.611 0.806 0.750
7 Ga 0.806 0.194 0.250
8 Ga 0.806 0.611 0.250
9 Rh 0.000 0.000 0.000
10 Rh 0.000 0.000 0.500



No. 7
# NaSrTbSn

A relaxed structure of NaSrTbSn (PBE-GGA, Alexandria via LeMat-Bulk).

Computed properties:
Formation enthalpy at 0 K in meV/atom: -271

Cell: 5.567 5.567 5.567 Å, 60.00 60.00 60.00°
Atoms (fractional coordinates):
1 Na 0.000 0.000 0.000
2 Sr 0.750 0.750 0.750
3 Tb 0.250 0.250 0.250
4 Sn 0.500 0.500 0.500



No. 8
# UTcMoW

A relaxed structure of UTcMoW (PBE-GGA, Alexandria via LeMat-Bulk).

Computed properties:
Formation enthalpy at 0 K in meV/atom: 170

Cell: 4.613 4.613 4.613 Å, 60.00 60.00 60.00°
Atoms (fractional coordinates):
1 U 0.000 0.000 0.000
2 Tc 0.250 0.250 0.250
3 Mo 0.750 0.750 0.750
4 W 0.500 0.500 0.500



No. 9
# ScMnNbRe

A relaxed structure of ScMnNbRe (PBE-GGA, Alexandria via LeMat-Bulk).

Computed properties:
Formation enthalpy at 0 K in meV/atom: -62

Cell: 4.511 4.511 4.511 Å, 60.00 60.00 60.00°
Atoms (fractional coordinates):
1 Sc 0.000 0.000 0.000
2 Mn 0.750 0.750 0.750
3 Nb 0.500 0.500 0.500
4 Re 0.250 0.250 0.250